No. 1
Entry from Alexandria via LeMat-Bulk: a geometry-optimized PaBeSi2 structure (PBE).

Geometry as POSCAR:
```
PaBeSi2
1.0
2.9821 0.0000 0.0000
1.4910 2.5825 0.0000
1.4910 0.8608 8.5503
Si Be Pa
2 1 1
Cartesian
1.4910 0.8608 1.7453
4.4731 2.5825 6.8050
0.0000 0.0000 0.0000
2.9821 1.7217 4.2752
```

Computed properties:
- D(E_F) (states/eV/f.u.) = 2.71
- relative energy among the computed polymorphs (meV/atom) = 577.9
- magnetization (μB per formula unit) = 0.00
- formation energy without anion corrections (eV/atom) = 0.19
- raw total energy (eV/atom) = -5.8296

No. 2
Entry from Alexandria via LeMat-Bulk: a geometry-optimized PaBeSi3 structure (PBE).

Geometry as POSCAR:
```
PaBeSi3
1.0
-2.0002 -2.1549 -2.7169
3.1749 -3.1962 5.5980
-5.6860 0.7047 3.6271
Si Pa Be
6 2 2
Cartesian
-2.1329 -1.3904 2.4468
-0.0242 -1.6518 1.1016
-2.3784 -3.2560 4.0615
-0.2285 -4.7987 3.7436
-4.2828 0.1523 2.7647
-4.4872 -2.9946 5.4067
0.3235 -2.0066 4.0664
-4.8348 -2.6398 2.4419
-2.3345 -3.1445 6.4596
-2.1769 -1.5019 0.0487
```

Computed properties:
- D(E_F) (states/eV/f.u.) = 3.12
- magnetization (μB per formula unit) = 0.00
- formation energy without anion corrections (eV/atom) = -0.12
- raw total energy (eV/atom) = -6.0149

No. 3
Entry from Alexandria via LeMat-Bulk: a geometry-optimized PaBe3Si2 structure (PBE).

Geometry as POSCAR:
```
PaBe3Si2
1.0
3.5578 0.0000 0.9795
0.7694 6.1227 4.1568
-0.2162 0.3919 7.7368
Si Pa Be
4 2 6
Cartesian
3.2635 4.6012 9.0001
2.3207 5.2984 5.4733
1.7903 1.2162 7.3998
0.8475 1.9134 3.8730
3.2062 1.4364 2.2567
0.9048 5.0782 10.6164
0.2456 2.1453 6.0595
1.7332 3.4760 7.6073
2.3917 0.7287 5.2152
1.7193 5.7859 7.6579
2.3778 3.0386 5.2659
3.8654 4.3693 6.8136
```

Computed properties:
- D(E_F) (states/eV/f.u.) = 3.88
- magnetization (μB per formula unit) = 0.00
- formation energy without anion corrections (eV/atom) = -0.15
- raw total energy (eV/atom) = -5.4067

No. 4
Entry from Alexandria via LeMat-Bulk: a geometry-optimized PaBe2Si structure (PBE).

Geometry as POSCAR:
```
PaBe2Si
1.0
3.7916 0.0000 0.0000
1.8958 3.2836 0.0000
1.8958 1.0945 4.7218
Be Si Pa
2 1 1
Cartesian
1.8958 1.0945 0.5322
5.6874 3.2836 4.1896
0.0000 0.0000 0.0000
3.7916 2.1891 2.3609
```

Computed properties:
- D(E_F) (states/eV/f.u.) = 4.00
- magnetization (μB per formula unit) = 0.00
- formation energy without anion corrections (eV/atom) = -0.15
- raw total energy (eV/atom) = -5.7381

No. 5
Entry from Alexandria via LeMat-Bulk: a geometry-optimized Pa2Be2Si3 structure (PBE).

Geometry as POSCAR:
```
Pa2Be2Si3
1.0
3.8144 0.0000 -0.9094
0.0000 6.5805 0.0000
0.2020 0.0000 9.3016
Si Be Pa
6 4 4
Cartesian
3.1452 1.6451 4.7378
1.8395 6.0954 7.7155
0.8712 4.9353 3.6544
2.1770 2.8052 0.6767
2.1770 0.4850 0.6767
1.8395 3.7753 7.7155
1.4056 0.6038 5.8956
2.6108 5.9766 2.4966
1.4056 2.6864 5.8956
2.6108 3.8941 2.4966
0.1945 4.9353 0.8157
3.2844 4.9353 5.3220
0.7320 1.6451 3.0702
3.8219 1.6451 7.5764
```

Computed properties:
- D(E_F) (states/eV/f.u.) = 7.14
- magnetization (μB per formula unit) = 0.00
- formation energy without anion corrections (eV/atom) = -0.36
- raw total energy (eV/atom) = -6.4657

No. 6
Entry from Alexandria via LeMat-Bulk: a geometry-optimized Pa3Be2Si4 structure (PBE).

Geometry as POSCAR:
```
Pa3Be2Si4
1.0
-2.6630 -0.4270 -2.9294
5.1523 0.7270 -2.0835
-1.1807 -7.6938 2.1949
Si Pa Be
4 3 2
Cartesian
0.3173 -0.4943 -2.9226
0.4351 -2.9699 0.0374
0.8735 -4.4239 -2.8554
0.9912 -6.8995 0.1047
0.0000 0.0000 0.0000
2.5957 -2.1330 -2.0487
-1.2872 -5.2607 -0.7692
-0.3749 -2.4455 -2.0089
1.6834 -4.9483 -0.8090
```

Computed properties:
- D(E_F) (states/eV/f.u.) = 11.14
- relative energy among the computed polymorphs (meV/atom) = 93.9
- magnetization (μB per formula unit) = 0.00
- formation energy without anion corrections (eV/atom) = -0.43
- raw total energy (eV/atom) = -6.8315

No. 7
Entry from Alexandria via LeMat-Bulk: a geometry-optimized Pa3BeSi2 structure (PBE).

Geometry as POSCAR:
```
Pa3BeSi2
1.0
-0.8800 2.6787 -2.6303
-7.9722 3.1943 5.9202
7.0083 7.5626 5.3570
Be Pa Si
4 12 8
Cartesian
1.2667 6.5692 4.8531
-3.1106 6.8664 3.7938
-1.4256 11.3766 7.8233
-0.4182 2.0590 0.8236
-1.2762 8.4663 7.6358
1.3150 11.1422 6.6676
2.8167 8.7986 3.7785
5.3739 7.5555 4.4833
-4.6605 4.6370 4.8684
-0.5677 4.9693 1.0111
-4.6839 8.3604 5.8417
-3.1588 2.2934 1.9793
-0.9683 4.9113 3.9124
-0.8756 8.5244 4.7345
-7.2177 5.8801 4.1635
2.8400 5.0752 2.8052
1.6544 2.9625 1.0503
0.1328 10.5139 9.2497
-3.4982 10.4731 7.5966
-2.5390 6.3991 5.9531
1.5377 8.1946 6.4177
-1.9766 2.9217 -0.6028
-3.3815 5.2410 2.2292
0.6952 7.0365 2.6938
```

Computed properties:
- D(E_F) (states/eV/f.u.) = 9.11
- magnetization (μB per formula unit) = 0.00
- formation energy without anion corrections (eV/atom) = -0.36
- raw total energy (eV/atom) = -7.5329

No. 8
Entry from Alexandria via LeMat-Bulk: a geometry-optimized Pa4Be2Si5 structure (PBE).

Geometry as POSCAR:
```
Pa4Be2Si5
1.0
4.2305 0.0000 0.0000
0.0000 6.4407 -0.4025
0.0000 0.3774 7.4211
Pa Si Be
4 5 2
Cartesian
2.1153 5.2575 6.1404
2.1153 1.8307 4.4867
2.1153 1.5606 0.8782
2.1153 4.9873 2.5320
0.0000 2.8594 2.4478
0.0000 3.9586 4.5708
0.0000 3.2204 -0.2012
0.0000 1.0384 6.4096
0.0000 5.7796 0.6090
0.0000 6.1550 4.2315
0.0000 0.6631 2.7872
```

Computed properties:
- D(E_F) (states/eV/f.u.) = 13.60
- magnetization (μB per formula unit) = 0.00
- formation energy without anion corrections (eV/atom) = -0.43
- raw total energy (eV/atom) = -7.0247

No. 9
Entry from Alexandria via LeMat-Bulk: a geometry-optimized Pa3Be2Si4 structure (PBE).

Geometry as POSCAR:
```
Pa3Be2Si4
1.0
3.8636 0.0000 0.0000
-1.9318 5.1990 -0.9873
0.0000 0.4376 7.8268
Si Pa Be
4 3 2
Cartesian
0.0000 0.7914 2.8836
0.0000 3.3524 6.7504
1.9318 4.8452 3.9559
1.9318 2.2842 0.0891
0.0000 3.6245 1.9533
0.0000 0.0000 0.0000
1.9318 2.0121 4.8863
1.9318 1.2726 1.9955
0.0000 4.3640 4.8440
```

Computed properties:
- D(E_F) (states/eV/f.u.) = 9.49
- relative energy among the computed polymorphs (meV/atom) = 0.0
- magnetization (μB per formula unit) = 0.00
- formation energy without anion corrections (eV/atom) = -0.52
- raw total energy (eV/atom) = -6.9254

No. 10
Entry from Alexandria via LeMat-Bulk: a geometry-optimized PaBeSi2 structure (PBE).

Geometry as POSCAR:
```
PaBeSi2
1.0
4.0300 0.0000 0.0000
0.0000 3.8189 -0.9618
0.0000 0.0450 8.2409
Pa Be Si
2 2 4
Cartesian
3.0225 0.4082 1.6209
1.0075 3.4557 5.6582
3.0225 1.2600 5.0027
1.0075 2.6039 2.2764
3.0225 2.8809 3.3760
3.0225 1.8009 7.1502
1.0075 2.0630 0.1289
1.0075 0.9830 3.9030
```

Computed properties:
- D(E_F) (states/eV/f.u.) = 3.72
- relative energy among the computed polymorphs (meV/atom) = 0.0
- magnetization (μB per formula unit) = 0.00
- formation energy without anion corrections (eV/atom) = -0.39
- raw total energy (eV/atom) = -6.4075

No. 11
Entry from Alexandria via LeMat-Bulk: a geometry-optimized PaBeSi2Tc2 structure (PBE).

Geometry as POSCAR:
```
PaBeSi2Tc2
1.0
-4.1258 -1.0966 -0.4760
0.0360 -1.8237 3.8890
-1.4528 4.5365 2.1408
Si Tc Be Pa
2 2 1 1
Cartesian
-2.0629 -0.5483 -0.2380
0.0180 -0.9118 1.9445
-2.4300 -0.2576 2.2740
-3.1126 1.8739 3.2798
0.0000 0.0000 0.0000
-0.7264 2.2683 1.0704
```

Computed properties:
- D(E_F) (states/eV/f.u.) = 8.12
- magnetization (μB per formula unit) = 0.00
- formation energy without anion corrections (eV/atom) = 0.14
- raw total energy (eV/atom) = -7.3301

No. 12
Entry from Alexandria via LeMat-Bulk: a geometry-optimized PaBeSiTc structure (PBE).

Geometry as POSCAR:
```
PaBeSiTc
1.0
-2.7703 1.9736 2.1597
-3.8481 0.0180 -1.1941
-3.0165 -3.2663 2.8739
Be Pa Tc Si
1 1 1 1
Cartesian
-4.5612 0.6055 1.1128
-7.0723 -0.2100 2.3952
-2.3145 0.1382 0.6632
-2.9716 -3.0489 2.7327
```

Computed properties:
- D(E_F) (states/eV/f.u.) = 4.26
- magnetization (μB per formula unit) = 0.00
- formation energy without anion corrections (eV/atom) = -0.28
- raw total energy (eV/atom) = -7.5313

No. 13
Entry from Alexandria via LeMat-Bulk: a geometry-optimized Pa2Be3Si4Tc structure (PBE).

Geometry as POSCAR:
```
Pa2Be3Si4Tc
1.0
3.9706 0.0000 0.0000
0.0000 3.9706 0.0000
0.0000 0.0000 9.5394
Pa Be Si Tc
2 3 4 1
Cartesian
1.9853 0.0000 2.3327
0.0000 1.9853 7.2067
0.0000 1.9853 1.1729
0.0000 0.0000 4.7697
1.9853 0.0000 8.3665
0.0000 0.0000 0.0000
1.9853 1.9853 0.0000
0.0000 1.9853 3.4119
1.9853 0.0000 6.1275
1.9853 1.9853 4.7697
```

Computed properties:
- D(E_F) (states/eV/f.u.) = 7.28
- magnetization (μB per formula unit) = 0.00
- formation energy without anion corrections (eV/atom) = -0.37
- raw total energy (eV/atom) = -6.5978

No. 14
Entry from Alexandria via LeMat-Bulk: a geometry-optimized Pa2Be4Si3Tc structure (PBE).

Geometry as POSCAR:
```
Pa2Be4Si3Tc
1.0
3.8772 0.0000 0.0000
0.0000 3.8772 0.0000
0.0000 0.0000 9.6163
Si Pa Be Tc
3 2 4 1
Cartesian
1.9386 0.0000 8.3663
0.0000 1.9386 1.2501
0.0000 0.0000 4.8082
1.9386 0.0000 2.4177
0.0000 1.9386 7.1986
1.9386 1.9386 0.0000
0.0000 1.9386 3.5128
0.0000 0.0000 0.0000
1.9386 0.0000 6.1035
1.9386 1.9386 4.8082
```

Computed properties:
- D(E_F) (states/eV/f.u.) = 8.05
- magnetization (μB per formula unit) = 0.00
- formation energy without anion corrections (eV/atom) = -0.32
- raw total energy (eV/atom) = -6.3781

No. 15
Entry from Alexandria via LeMat-Bulk: a geometry-optimized Pa2Be4VSi3 structure (PBE).

Geometry as POSCAR:
```
Pa2Be4VSi3
1.0
3.8136 0.0000 0.0000
0.0000 3.8136 0.0000
0.0000 0.0000 9.9105
Si Pa Be V
3 2 4 1
Cartesian
0.0000 1.9068 1.2773
0.0000 0.0000 4.9553
1.9068 0.0000 8.6333
1.9068 0.0000 2.4344
0.0000 1.9068 7.4761
1.9068 1.9068 0.0000
1.9068 0.0000 6.3654
0.0000 1.9068 3.5451
0.0000 0.0000 0.0000
1.9068 1.9068 4.9553
```

Computed properties:
- D(E_F) (states/eV/f.u.) = 9.71
- magnetization (μB per formula unit) = 0.00
- formation energy without anion corrections (eV/atom) = -0.28
- raw total energy (eV/atom) = -6.2040

No. 16
Entry from Alexandria via LeMat-Bulk: a geometry-optimized Pa2Be4Si3W structure (PBE).

Geometry as POSCAR:
```
Pa2Be4Si3W
1.0
-0.3694 1.8451 -3.3531
-3.3542 1.4662 1.1763
4.7524 7.8335 3.7871
W Be Pa Si
1 4 2 3
Cartesian
0.5144 5.5724 0.8052
0.0032 3.5027 1.9271
0.0000 0.0000 0.0000
2.8875 5.9865 0.7716
-1.8618 1.6557 -1.0884
0.9765 2.8366 -0.7512
1.9141 6.6526 3.4499
3.9632 7.7596 1.6288
2.3762 3.9168 1.8936
-1.0726 1.7296 1.0699
```

Computed properties:
- D(E_F) (states/eV/f.u.) = 9.45
- magnetization (μB per formula unit) = 0.00
- formation energy without anion corrections (eV/atom) = -0.22
- raw total energy (eV/atom) = -6.5293

No. 17
Entry from Alexandria via LeMat-Bulk: a geometry-optimized Pa2Be3ZnSi4 structure (PBE).

Geometry as POSCAR:
```
Pa2Be3ZnSi4
1.0
3.9098 0.0000 0.0000
0.0000 3.9098 0.0000
0.0000 0.0000 9.8361
Be Zn Si Pa
3 1 4 2
Cartesian
0.0000 1.9549 1.1846
1.9549 0.0000 8.6515
0.0000 0.0000 4.9180
1.9549 1.9549 4.9180
1.9549 1.9549 0.0000
1.9549 0.0000 6.3813
0.0000 0.0000 0.0000
0.0000 1.9549 3.4548
1.9549 0.0000 2.3367
0.0000 1.9549 7.4994
```

Computed properties:
- D(E_F) (states/eV/f.u.) = 8.07
- magnetization (μB per formula unit) = 0.00
- formation energy without anion corrections (eV/atom) = -0.26
- raw total energy (eV/atom) = -5.5687

No. 18
Entry from Alexandria via LeMat-Bulk: a geometry-optimized SmPaBe2 structure (PBE).

Geometry as POSCAR:
```
SmPaBe2
1.0
3.3550 0.0000 0.0000
1.6775 2.9055 0.0000
1.6775 0.9685 8.4875
Pa Be Sm
1 2 1
Cartesian
0.0000 0.0000 0.0000
1.6775 0.9685 2.0755
5.0325 2.9055 6.4120
3.3550 1.9370 4.2437
```

Computed properties:
- D(E_F) (states/eV/f.u.) = 4.62
- magnetization (μB per formula unit) = 0.00
- raw total energy (eV/atom) = -4.8749

No. 19
Entry from Alexandria via LeMat-Bulk: a geometry-optimized PaBeSn2 structure (PBE).

Geometry as POSCAR:
```
PaBeSn2
1.0
4.4285 0.0000 0.0000
0.0000 4.4690 0.0000
0.0000 0.0000 4.4690
Pa Sn Be
1 2 1
Cartesian
2.2142 0.0000 0.0000
0.0000 0.0000 2.2345
0.0000 2.2345 0.0000
2.2142 2.2345 2.2345
```

Computed properties:
- D(E_F) (states/eV/f.u.) = 4.95
- magnetization (μB per formula unit) = 0.00
- raw total energy (eV/atom) = -5.3010

No. 20
Entry from Alexandria via LeMat-Bulk: a geometry-optimized TbPaBe structure (PBE).

Geometry as POSCAR:
```
TbPaBe
1.0
5.6683 0.0000 0.0000
2.8342 4.6507 0.0000
2.8342 0.0000 9.8392
Pa Tb Be
4 4 4
Cartesian
5.6683 0.0000 8.1826
2.8342 0.0000 1.6566
4.2513 2.3253 6.5762
4.2513 2.3253 3.2630
2.8342 3.0332 0.0000
7.0854 3.9428 4.9196
5.6683 1.6174 0.0000
7.0854 0.7079 4.9196
7.0854 2.3253 7.3661
5.6683 0.0000 2.4465
2.8342 0.0000 7.3927
7.0854 2.3253 2.4731
```

Computed properties:
- D(E_F) (states/eV/f.u.) = 5.13
- magnetization (μB per formula unit) = 0.00
- raw total energy (eV/atom) = -5.7137

No. 21
Entry from Alexandria via LeMat-Bulk: a geometry-optimized Tb2PaBe structure (PBE).

Geometry as POSCAR:
```
Tb2PaBe
1.0
3.2731 0.0000 0.0000
1.6366 2.8346 0.0000
1.6366 0.9449 10.7926
Pa Tb Be
1 2 1
Cartesian
0.0000 0.0000 0.0000
1.6366 0.9449 7.4827
4.9097 2.8346 3.3099
3.2731 1.8897 5.3963
```

Computed properties:
- D(E_F) (states/eV/f.u.) = 6.03
- magnetization (μB per formula unit) = 0.00
- raw total energy (eV/atom) = -5.1337

No. 22
Entry from Alexandria via LeMat-Bulk: a geometry-optimized TbPaBe4 structure (PBE).

Geometry as POSCAR:
```
TbPaBe4
1.0
-3.1899 3.1595 2.2141
-4.8473 -1.1924 0.3772
-1.9574 -1.1389 4.4645
Be Tb Pa
4 1 1
Cartesian
-5.2642 1.0779 2.1960
-3.8390 1.1043 4.2118
-6.2295 0.5162 4.3978
-4.6564 -1.0420 3.3059
0.0000 0.0000 0.0000
-2.4986 0.2070 1.7639
```

Computed properties:
- D(E_F) (states/eV/f.u.) = 4.49
- magnetization (μB per formula unit) = 0.00
- raw total energy (eV/atom) = -4.6688

No. 23
Entry from Alexandria via LeMat-Bulk: a geometry-optimized PaBeTc structure (PBE).

Geometry as POSCAR:
```
PaBeTc
1.0
3.7009 0.0000 0.0000
0.0000 3.7009 0.0000
-1.8505 -1.8505 4.1079
Pa Tc Be
1 1 1
Cartesian
1.8505 1.8505 3.8805
1.8505 1.8505 0.6405
0.0000 0.0000 2.4624
```

Computed properties:
- D(E_F) (states/eV/f.u.) = 3.49
- relative energy among the computed polymorphs (meV/atom) = 577.7
- magnetization (μB per formula unit) = 0.00
- raw total energy (eV/atom) = -7.5406

No. 24
Entry from Alexandria via LeMat-Bulk: a geometry-optimized PaBeTc structure (PBE).

Geometry as POSCAR:
```
PaBeTc
1.0
3.7100 0.0000 0.0000
0.0000 4.0229 0.0000
0.0000 -2.0114 3.4839
Pa Be Tc
1 1 1
Cartesian
1.2369 2.0114 1.1613
3.0910 0.0000 2.3226
3.0921 0.0000 0.0000
```

Computed properties:
- D(E_F) (states/eV/f.u.) = 1.29
- relative energy among the computed polymorphs (meV/atom) = 169.8
- magnetization (μB per formula unit) = 0.00
- raw total energy (eV/atom) = -7.9485